1.
VASP calculation (PBE) on an optimized crystal structure of Sr2HfBTe.

Structure (CIF):
```
data_Sr2HfBTe
_cell_length_a 6.455
_cell_length_b 4.212
_cell_length_c 6.455
_cell_angle_alpha 90.00
_cell_angle_beta 90.00
_cell_angle_gamma 90.00
_symmetry_space_group_name_H-M 'P 1'
_symmetry_Int_Tables_number 1
loop_
_symmetry_equiv_pos_as_xyz
'x,y,z'
loop_
_atom_site_label
_atom_site_type_symbol
_atom_site_fract_x
_atom_site_fract_y
_atom_site_fract_z
B1 B 0.000 0.500 0.000
Sr1 Sr 0.000 0.000 0.500
Sr2 Sr 0.500 0.000 0.000
Hf1 Hf 0.000 0.000 0.000
Te1 Te 0.500 0.500 0.500
```

***

2.
VASP calculation (PBE) on an optimized crystal structure of SrHf2TlB.

Summary:
The calculation puts the formation energy at 2.763 eV/atom.

Structure (CIF):
```
data_SrHf2TlB
_cell_length_a 5.332
_cell_length_b 5.781
_cell_length_c 5.332
_cell_angle_alpha 90.00
_cell_angle_beta 90.00
_cell_angle_gamma 90.00
_symmetry_space_group_name_H-M 'P 1'
_symmetry_Int_Tables_number 1
loop_
_symmetry_equiv_pos_as_xyz
'x,y,z'
loop_
_atom_site_label
_atom_site_type_symbol
_atom_site_fract_x
_atom_site_fract_y
_atom_site_fract_z
Hf1 Hf 0.000 0.000 0.500
Hf2 Hf 0.500 0.000 0.000
Sr1 Sr 0.000 0.000 0.000
B1 B 0.500 0.500 0.500
Tl1 Tl 0.000 0.500 0.000
```

***

3.
VASP calculation (PBE) on an optimized crystal structure of Sr2HfVB.

Summary:
The calculation puts the formation energy at 1.903 eV/atom.

Structure (CIF):
```
data_Sr2HfVB
_cell_length_a 6.249
_cell_length_b 4.495
_cell_length_c 6.249
_cell_angle_alpha 90.00
_cell_angle_beta 90.00
_cell_angle_gamma 90.00
_symmetry_space_group_name_H-M 'P 1'
_symmetry_Int_Tables_number 1
loop_
_symmetry_equiv_pos_as_xyz
'x,y,z'
loop_
_atom_site_label
_atom_site_type_symbol
_atom_site_fract_x
_atom_site_fract_y
_atom_site_fract_z
Sr1 Sr 0.500 0.000 0.000
Sr2 Sr 0.000 0.000 0.500
B1 B 0.500 0.500 0.500
V1 V 0.000 0.500 0.000
Hf1 Hf 0.000 0.000 0.000
```

***

4.
VASP calculation (PBE) on an optimized crystal structure of HfTa2B2.

Summary:
The calculation puts the formation energy at -0.534 eV/atom.

Structure (CIF):
```
data_HfTa2B2
_cell_length_a 6.311
_cell_length_b 6.311
_cell_length_c 3.324
_cell_angle_alpha 90.00
_cell_angle_beta 90.00
_cell_angle_gamma 90.00
_symmetry_space_group_name_H-M 'P 1'
_symmetry_Int_Tables_number 1
loop_
_symmetry_equiv_pos_as_xyz
'x,y,z'
loop_
_atom_site_label
_atom_site_type_symbol
_atom_site_fract_x
_atom_site_fract_y
_atom_site_fract_z
B1 B 0.604 0.104 0.000
B2 B 0.104 0.396 0.000
B3 B 0.396 0.896 0.000
B4 B 0.896 0.604 0.000
Ta1 Ta 0.675 0.825 0.500
Ta2 Ta 0.825 0.325 0.500
Ta3 Ta 0.175 0.675 0.500
Ta4 Ta 0.325 0.175 0.500
Hf1 Hf 0.000 0.000 0.000
Hf2 Hf 0.500 0.500 0.000
```

***

5.
VASP calculation (PBE) on an optimized crystal structure of HfTaB3.

Summary:
The calculation puts the formation energy at -0.927 eV/atom.

Structure (CIF):
```
data_HfTaB3
_cell_length_a 3.399
_cell_length_b 3.155
_cell_length_c 9.955
_cell_angle_alpha 90.00
_cell_angle_beta 99.83
_cell_angle_gamma 90.00
_symmetry_space_group_name_H-M 'P 1'
_symmetry_Int_Tables_number 1
loop_
_symmetry_equiv_pos_as_xyz
'x,y,z'
loop_
_atom_site_label
_atom_site_type_symbol
_atom_site_fract_x
_atom_site_fract_y
_atom_site_fract_z
Hf1 Hf 0.930 0.750 0.860
Hf2 Hf 0.070 0.250 0.140
B1 B 0.384 0.250 0.767
B2 B 0.523 0.750 0.047
B3 B 0.334 0.750 0.667
B4 B 0.666 0.250 0.333
B5 B 0.477 0.250 0.953
B6 B 0.616 0.750 0.233
Ta1 Ta 0.204 0.750 0.408
Ta2 Ta 0.796 0.250 0.592
```

***

6.
VASP calculation (PBE) on an optimized crystal structure of HfTa2B4.

Summary:
The calculation puts the formation energy at -0.893 eV/atom.

Structure (CIF):
```
data_HfTa2B4
_cell_length_a 3.159
_cell_length_b 3.368
_cell_length_c 7.450
_cell_angle_alpha 103.06
_cell_angle_beta 102.24
_cell_angle_gamma 90.00
_symmetry_space_group_name_H-M 'P 1'
_symmetry_Int_Tables_number 1
loop_
_symmetry_equiv_pos_as_xyz
'x,y,z'
loop_
_atom_site_label
_atom_site_type_symbol
_atom_site_fract_x
_atom_site_fract_y
_atom_site_fract_z
Ta1 Ta 0.186 0.186 0.372
Ta2 Ta 0.814 0.814 0.628
B1 B 0.065 0.565 0.130
B2 B 0.935 0.435 0.870
B3 B 0.634 0.634 0.268
B4 B 0.366 0.366 0.732
Hf1 Hf 0.500 0.000 0.000
```

***

7.
VASP calculation (PBE) on an optimized crystal structure of Hf2TaB2.

Summary:
The calculation puts the formation energy at -0.519 eV/atom.

Structure (CIF):
```
data_Hf2TaB2
_cell_length_a 6.388
_cell_length_b 6.388
_cell_length_c 3.434
_cell_angle_alpha 90.00
_cell_angle_beta 90.00
_cell_angle_gamma 90.00
_symmetry_space_group_name_H-M 'P 1'
_symmetry_Int_Tables_number 1
loop_
_symmetry_equiv_pos_as_xyz
'x,y,z'
loop_
_atom_site_label
_atom_site_type_symbol
_atom_site_fract_x
_atom_site_fract_y
_atom_site_fract_z
Ta1 Ta 0.500 0.500 0.000
Ta2 Ta 0.000 0.000 0.000
Hf1 Hf 0.318 0.182 0.500
Hf2 Hf 0.818 0.318 0.500
Hf3 Hf 0.682 0.818 0.500
Hf4 Hf 0.182 0.682 0.500
B1 B 0.603 0.103 0.000
B2 B 0.897 0.603 0.000
B3 B 0.103 0.397 0.000
B4 B 0.397 0.897 0.000
```

***

8.
VASP calculation (PBE) on an optimized crystal structure of Hf2TaB2.

Summary:
The calculation puts the formation energy at 0.055 eV/atom.

Structure (CIF):
```
data_Hf2TaB2
_cell_length_a 3.712
_cell_length_b 3.712
_cell_length_c 5.812
_cell_angle_alpha 71.38
_cell_angle_beta 71.38
_cell_angle_gamma 90.00
_symmetry_space_group_name_H-M 'P 1'
_symmetry_Int_Tables_number 1
loop_
_symmetry_equiv_pos_as_xyz
'x,y,z'
loop_
_atom_site_label
_atom_site_type_symbol
_atom_site_fract_x
_atom_site_fract_y
_atom_site_fract_z
B1 B 0.419 0.419 0.163
B2 B 0.581 0.581 0.837
Ta1 Ta 0.000 0.000 0.000
Hf1 Hf 0.250 0.750 0.500
Hf2 Hf 0.750 0.250 0.500
```

***

9.
VASP calculation (PBE) on an optimized crystal structure of Hf2TaB2.

Summary:
The calculation puts the formation energy at -0.523 eV/atom.

Structure (CIF):
```
data_Hf2TaB2
_cell_length_a 3.381
_cell_length_b 5.113
_cell_length_c 5.113
_cell_angle_alpha 60.82
_cell_angle_beta 70.70
_cell_angle_gamma 70.70
_symmetry_space_group_name_H-M 'P 1'
_symmetry_Int_Tables_number 1
loop_
_symmetry_equiv_pos_as_xyz
'x,y,z'
loop_
_atom_site_label
_atom_site_type_symbol
_atom_site_fract_x
_atom_site_fract_y
_atom_site_fract_z
B1 B 0.500 0.677 0.323
B2 B 0.500 0.323 0.677
Hf1 Hf 0.800 0.700 0.700
Hf2 Hf 0.200 0.300 0.300
Ta1 Ta 0.000 0.000 0.000
```

***

10.
VASP calculation (PBE) on an optimized crystal structure of HfTaB2.

Summary:
The calculation puts the formation energy at -0.575 eV/atom.

Structure (CIF):
```
data_HfTaB2
_cell_length_a 3.322
_cell_length_b 3.322
_cell_length_c 5.794
_cell_angle_alpha 73.34
_cell_angle_beta 73.34
_cell_angle_gamma 60.00
_symmetry_space_group_name_H-M 'P 1'
_symmetry_Int_Tables_number 1
loop_
_symmetry_equiv_pos_as_xyz
'x,y,z'
loop_
_atom_site_label
_atom_site_type_symbol
_atom_site_fract_x
_atom_site_fract_y
_atom_site_fract_z
B1 B 0.746 0.746 0.763
B2 B 0.254 0.254 0.237
Ta1 Ta 0.000 0.000 0.000
Hf1 Hf 0.500 0.500 0.500
```

***

11.
VASP calculation (PBE) on an optimized crystal structure of HfTa5B4.

Summary:
The calculation puts the formation energy at -0.602 eV/atom.

Structure (CIF):
```
data_HfTa5B4
_cell_length_a 6.269
_cell_length_b 6.269
_cell_length_c 3.305
_cell_angle_alpha 90.00
_cell_angle_beta 90.00
_cell_angle_gamma 90.00
_symmetry_space_group_name_H-M 'P 1'
_symmetry_Int_Tables_number 1
loop_
_symmetry_equiv_pos_as_xyz
'x,y,z'
loop_
_atom_site_label
_atom_site_type_symbol
_atom_site_fract_x
_atom_site_fract_y
_atom_site_fract_z
B1 B 0.105 0.606 0.000
B2 B 0.895 0.394 0.000
B3 B 0.606 0.895 0.000
B4 B 0.394 0.105 0.000
Ta1 Ta 0.827 0.679 0.500
Ta2 Ta 0.321 0.827 0.500
Ta3 Ta 0.173 0.321 0.500
Ta4 Ta 0.000 0.000 0.000
Ta5 Ta 0.679 0.173 0.500
Hf1 Hf 0.500 0.500 0.000
```

***

12.
VASP calculation (PBE) on an optimized crystal structure of HfTaB2.

Summary:
The calculation puts the formation energy at -0.776 eV/atom.

Structure (CIF):
```
data_HfTaB2
_cell_length_a 4.826
_cell_length_b 4.826
_cell_length_c 3.179
_cell_angle_alpha 90.00
_cell_angle_beta 90.00
_cell_angle_gamma 138.99
_symmetry_space_group_name_H-M 'P 1'
_symmetry_Int_Tables_number 1
loop_
_symmetry_equiv_pos_as_xyz
'x,y,z'
loop_
_atom_site_label
_atom_site_type_symbol
_atom_site_fract_x
_atom_site_fract_y
_atom_site_fract_z
Hf1 Hf 0.146 0.854 0.500
B1 B 0.551 0.449 0.000
B2 B 0.440 0.560 0.500
Ta1 Ta 0.859 0.141 0.000
```

***

13.
VASP calculation (PBE) on an optimized crystal structure of HfTaB3.

Summary:
The calculation puts the formation energy at -0.768 eV/atom.

Structure (CIF):
```
data_HfTaB3
_cell_length_a 3.141
_cell_length_b 3.396
_cell_length_c 10.123
_cell_angle_alpha 99.65
_cell_angle_beta 90.00
_cell_angle_gamma 90.00
_symmetry_space_group_name_H-M 'P 1'
_symmetry_Int_Tables_number 1
loop_
_symmetry_equiv_pos_as_xyz
'x,y,z'
loop_
_atom_site_label
_atom_site_type_symbol
_atom_site_fract_x
_atom_site_fract_y
_atom_site_fract_z
Hf1 Hf 0.250 0.799 0.598
Hf2 Hf 0.750 0.201 0.402
Ta1 Ta 0.250 0.066 0.133
Ta2 Ta 0.750 0.934 0.867
B1 B 0.750 0.342 0.684
B2 B 0.250 0.478 0.955
B3 B 0.250 0.388 0.775
B4 B 0.750 0.522 0.045
B5 B 0.750 0.612 0.225
B6 B 0.250 0.658 0.316
```

***

14.
VASP calculation (PBE) on an optimized crystal structure of Hf2TaB.

Summary:
The calculation puts the formation energy at 0.336 eV/atom.

Structure (CIF):
```
data_Hf2TaB
_cell_length_a 8.198
_cell_length_b 8.198
_cell_length_c 6.221
_cell_angle_alpha 48.79
_cell_angle_beta 48.79
_cell_angle_gamma 90.00
_symmetry_space_group_name_H-M 'P 1'
_symmetry_Int_Tables_number 1
loop_
_symmetry_equiv_pos_as_xyz
'x,y,z'
loop_
_atom_site_label
_atom_site_type_symbol
_atom_site_fract_x
_atom_site_fract_y
_atom_site_fract_z
Ta1 Ta 0.000 0.000 0.000
Ta2 Ta 0.750 0.250 0.500
Hf1 Hf 0.875 0.751 0.750
Hf2 Hf 0.249 0.625 0.250
Hf3 Hf 0.375 0.499 0.750
Hf4 Hf 0.501 0.125 0.250
B1 B 0.500 0.500 0.000
B2 B 0.250 0.750 0.500
```

***

15.
VASP calculation (PBE) on an optimized crystal structure of HfTaB2.

Summary:
The calculation puts the formation energy at 0.503 eV/atom.

Structure (CIF):
```
data_HfTaB2
_cell_length_a 5.107
_cell_length_b 5.107
_cell_length_c 6.288
_cell_angle_alpha 66.04
_cell_angle_beta 66.04
_cell_angle_gamma 90.00
_symmetry_space_group_name_H-M 'P 1'
_symmetry_Int_Tables_number 1
loop_
_symmetry_equiv_pos_as_xyz
'x,y,z'
loop_
_atom_site_label
_atom_site_type_symbol
_atom_site_fract_x
_atom_site_fract_y
_atom_site_fract_z
Ta1 Ta 0.750 0.250 0.500
Ta2 Ta 0.000 0.000 0.000
B1 B 0.375 0.354 0.750
B2 B 0.646 0.125 0.250
B3 B 0.104 0.625 0.250
B4 B 0.875 0.896 0.750
Hf1 Hf 0.250 0.750 0.500
Hf2 Hf 0.500 0.500 0.000
```

***

16.
VASP calculation (PBE) on an optimized crystal structure of HfTaB.

Summary:
The calculation puts the formation energy at -0.314 eV/atom.

Structure (CIF):
```
data_HfTaB
_cell_length_a 3.312
_cell_length_b 3.312
_cell_length_c 10.429
_cell_angle_alpha 80.86
_cell_angle_beta 80.86
_cell_angle_gamma 60.00
_symmetry_space_group_name_H-M 'P 1'
_symmetry_Int_Tables_number 1
loop_
_symmetry_equiv_pos_as_xyz
'x,y,z'
loop_
_atom_site_label
_atom_site_type_symbol
_atom_site_fract_x
_atom_site_fract_y
_atom_site_fract_z
Ta1 Ta 0.794 0.794 0.617
Ta2 Ta 0.206 0.206 0.383
B1 B 0.089 0.089 0.732
B2 B 0.911 0.911 0.268
Hf1 Hf 0.621 0.621 0.136
Hf2 Hf 0.379 0.379 0.864
```

***

17.
VASP calculation (PBE) on an optimized crystal structure of Hf3TaB.

Summary:
The calculation puts the formation energy at 0.079 eV/atom.

Structure (CIF):
```
data_Hf3TaB
_cell_length_a 4.578
_cell_length_b 4.578
_cell_length_c 4.578
_cell_angle_alpha 90.00
_cell_angle_beta 90.00
_cell_angle_gamma 90.00
_symmetry_space_group_name_H-M 'P 1'
_symmetry_Int_Tables_number 1
loop_
_symmetry_equiv_pos_as_xyz
'x,y,z'
loop_
_atom_site_label
_atom_site_type_symbol
_atom_site_fract_x
_atom_site_fract_y
_atom_site_fract_z
Ta1 Ta 0.500 0.500 0.500
Hf1 Hf 0.500 0.000 0.000
Hf2 Hf 0.000 0.000 0.500
Hf3 Hf 0.000 0.500 0.000
B1 B 0.000 0.000 0.000
```

***

18.
VASP calculation (PBE) on an optimized crystal structure of HfTaB2.

Summary:
The calculation puts the formation energy at 0.240 eV/atom.

Structure (CIF):
```
data_HfTaB2
_cell_length_a 4.157
_cell_length_b 4.157
_cell_length_c 4.157
_cell_angle_alpha 60.00
_cell_angle_beta 60.00
_cell_angle_gamma 60.00
_symmetry_space_group_name_H-M 'P 1'
_symmetry_Int_Tables_number 1
loop_
_symmetry_equiv_pos_as_xyz
'x,y,z'
loop_
_atom_site_label
_atom_site_type_symbol
_atom_site_fract_x
_atom_site_fract_y
_atom_site_fract_z
Ta1 Ta 0.500 0.500 0.500
B1 B 0.750 0.750 0.750
B2 B 0.250 0.250 0.250
Hf1 Hf 0.000 0.000 0.000
```

***

19.
VASP calculation (PBE) on an optimized crystal structure of Hf3TaB.

Summary:
The calculation puts the formation energy at 1.966 eV/atom.

Structure (CIF):
```
data_Hf3TaB
_cell_length_a 5.043
_cell_length_b 5.043
_cell_length_c 5.043
_cell_angle_alpha 90.00
_cell_angle_beta 90.00
_cell_angle_gamma 90.00
_symmetry_space_group_name_H-M 'P 1'
_symmetry_Int_Tables_number 1
loop_
_symmetry_equiv_pos_as_xyz
'x,y,z'
loop_
_atom_site_label
_atom_site_type_symbol
_atom_site_fract_x
_atom_site_fract_y
_atom_site_fract_z
Ta1 Ta 0.000 0.000 0.000
Hf1 Hf 0.000 0.000 0.500
Hf2 Hf 0.500 0.000 0.000
Hf3 Hf 0.000 0.500 0.000
B1 B 0.500 0.500 0.500
```

***

20.
VASP calculation (PBE) on an optimized crystal structure of HfTaB3.

Summary:
The calculation puts the formation energy at 1.573 eV/atom.

Structure (CIF):
```
data_HfTaB3
_cell_length_a 4.139
_cell_length_b 4.139
_cell_length_c 4.139
_cell_angle_alpha 90.00
_cell_angle_beta 90.00
_cell_angle_gamma 90.00
_symmetry_space_group_name_H-M 'P 1'
_symmetry_Int_Tables_number 1
loop_
_symmetry_equiv_pos_as_xyz
'x,y,z'
loop_
_atom_site_label
_atom_site_type_symbol
_atom_site_fract_x
_atom_site_fract_y
_atom_site_fract_z
Hf1 Hf 0.000 0.000 0.000
B1 B 0.000 0.500 0.000
B2 B 0.500 0.000 0.000
B3 B 0.000 0.000 0.500
Ta1 Ta 0.500 0.500 0.500
```

***

Spin magnetization across the listed records, respectively: 0.00; 0.00; 0.00; 0.00; 0.00; 0.00; 0.00; 0.00; 0.00; 0.00; 0.00; 0.00; 0.00; 0.00; 0.00; 0.00; 0.39; 0.00; 0.00; 0.00 μB per formula unit.
Raw total energy across the listed records, respectively: -4.12; -3.36; -3.92; -9.94; -9.29; -9.52; -9.54; -8.97; -9.55; -9.37; -10.19; -9.57; -9.14; -9.27; -8.29; -9.81; -9.60; -8.55; -7.71; -6.79 eV/atom.